## KHfMg3 (PBE)

Data for an optimized crystal structure of KHfMg3.

Summary:
Formation energy in kJ/mol of atoms: 140.1
Symmetry: Pm-3m, No. 221

a b c (Å): 5.208 5.208 5.208
angles (deg): 90.00 90.00 90.00
Fractional positions:
K 0.000 0.000 0.000
Hf 0.500 0.500 0.500
Mg 0.000 0.000 0.500
Mg 0.000 0.500 0.000
Mg 0.500 0.000 0.000